! KV4Hg3O12 PBE+U relaxed; values from VASP
&SYSTEM
  ibrav = 0, nat = 20, ntyp = 4
/
ATOMIC_SPECIES
K 39.10 K.upf
V 50.94 V.upf
Hg 200.59 Hg.upf
O 16.00 O.upf
ATOMIC_POSITIONS angstrom
K 0.000 0.000 0.000
V -2.620 -4.538 3.581
V 0.000 0.000 3.581
V -2.620 4.538 3.581
V 5.240 0.000 3.581
Hg -3.480 -1.077 2.387
Hg -3.480 1.077 4.775
Hg 0.807 3.552 2.387
O -5.313 0.000 3.581
O -3.277 -2.874 3.788
O -0.851 -4.275 3.374
O -3.277 2.874 3.374
O -1.728 0.000 3.581
O 2.656 -4.601 3.581
O 0.864 -1.496 3.581
O 0.864 1.496 3.581
O -0.851 4.275 3.788
O 4.127 -1.401 3.788
O 4.127 1.401 3.374
O 2.656 4.601 3.581
CELL_PARAMETERS angstrom
6.153 3.552 2.387
-6.153 3.552 2.387
0.000 -7.104 2.387
! - total DFT energy (no corrections) (eV per atom) = -5.71
! - space group = R32 (155)